(1)
First-principles (PBE) data for CrInAu4 after structural relaxation, as listed in the Alexandria database.

Cell lengths 7.836, 7.836, 7.836 Å; angles 90.00, 90.00, 90.00 degrees
Space group F-43m (No. 216)
Unique sites:
Cr1 0.000 0.000 0.000 [4 per cell]
In1 0.250 0.250 0.750 [4 per cell]
Au1 0.125 0.125 0.375 [16 per cell]


(2)
First-principles (PBE) data for CrInAu2 after structural relaxation, as listed in the Alexandria database.

Cell lengths 3.3759, 3.3759, 24.4874 Å; angles 90.00, 90.00, 120.00 degrees
Space group R-3m (No. 166, hexagonal axes)
Unique sites:
Cr1 0.0000 0.0000 0.0000 [3 per cell]
In1 0.0000 0.0000 0.5000 [3 per cell]
Au1 0.0000 0.0000 0.2553 [6 per cell]


(3)
First-principles (PBE) data for CrIn3Au after structural relaxation, as listed in the Alexandria database.

Cell lengths 5.191, 5.191, 5.191 Å; angles 90.00, 90.00, 90.00 degrees
Space group Pm-3m (No. 221)
Unique sites:
Cr1 0.000 0.000 0.000 [1 per cell]
In1 0.000 0.000 0.500 [3 per cell]
Au1 0.500 0.500 0.500 [1 per cell]

Energy relative to the lowest polymorph listed for this composition = 0.000 eV per atom


(4)
First-principles (PBE) data for CrInNiAu after structural relaxation, as listed in the Alexandria database.

Cell lengths 6.367, 6.367, 6.367 Å; angles 90.00, 90.00, 90.00 degrees
Space group F-43m (No. 216)
Unique sites:
Cr1 0.000 0.000 0.000 [4 per cell]
In1 0.250 0.250 0.750 [4 per cell]
Ni1 0.000 0.000 0.500 [4 per cell]
Au1 0.250 0.250 0.250 [4 per cell]


| no. | final energy (eV for the cell shown) | mass density (kg/m³) | energy of formation from the pure elements (eV/f.u.) |
| --- | --- | --- | --- |
| 1 | -98.4 | 13177 | 0.9 |
| 2 | -54.7 | 11558 | 0.7 |
| 3 | -18.5 | 7047 | 2.7 |
| 4 | -84.0 | 10870 | 0.4 |